Record 1
A relaxed RbYCr2Tc crystal, computed with GGA-PBEsol.

a = 4.9131 Å, b = 4.9131 Å, c = 5.5014 Å
α = 90.00°, β = 90.00°, γ = 90.00°
Atoms (fractional coordinates):
Rb 0.0000 0.0000 0.0000
Y 0.0000 0.0000 0.5000
Cr 0.0000 0.5000 0.5000
Cr 0.5000 0.0000 0.5000
Tc 0.5000 0.5000 0.0000

Output
Formation enthalpy at 0 K ... 2.68 eV/atom
Calculated volume ... 26.6 Å³ per atom
VASP energy ... -26.2 eV/cell

Record 2
A relaxed Rb2CrTe2 crystal, computed with GGA-PBEsol.

a = 10.9330 Å, b = 10.9330 Å, c = 10.9330 Å
α = 156.49°, β = 156.49°, γ = 33.49°
Atoms (fractional coordinates):
Rb 0.1128 0.1128 0.0000
Rb 0.8872 0.8872 0.0000
Cr 0.5000 0.5000 0.0000
Te 0.2500 0.7500 0.5000
Te 0.7500 0.2500 0.5000

Output
Calculated volume ... 41.6 Å³ per atom
VASP energy ... -17.8 eV/cell
Energy relative to the elements, uncorrected ... 0.30 eV/atom